Entry 1:
Computed, not measured: a relaxed structure of Sm13Th3 at the GGA-PBE level of DFT.

a b c (Å): 7.2497 8.6323 8.6323
angles (deg): 93.59 90.00 90.00
Closest atoms and distances in Å follow each position.
Sites, in units of the cell vectors:
Sm 0.7522 0.5410 0.4590  11 Sm 3.59-3.72, 1 Th 3.70
Sm 0.2478 0.5410 0.4590  11 Sm 3.59-3.72, 1 Th 3.70
Sm 0.5000 0.7967 0.2033  10 Sm 3.58-3.70, 2 Th 3.64
Sm 0.0000 0.7033 0.7919  9 Sm 3.57-3.64, 3 Th 3.64
Sm 0.0000 0.2081 0.2967  9 Sm 3.57-3.64, 3 Th 3.64
Sm 0.5000 0.7143 0.7922  10 Sm 3.58-3.72, 2 Th 3.62
Sm 0.2477 0.4566 0.0421  2 Th 3.58-3.59, 10 Sm 3.59-3.68
Sm 0.2477 0.9579 0.5434  2 Th 3.58-3.59, 10 Sm 3.59-3.68
Sm 0.0000 0.7998 0.2002  2 Th 3.55, 10 Sm 3.57-3.72
Sm 0.5000 0.2852 0.7148  4 Th 3.55-3.62, 8 Sm 3.60-3.72
Sm 0.7523 0.4566 0.0421  2 Th 3.58-3.59, 10 Sm 3.59-3.68
Sm 0.5000 0.2078 0.2857  10 Sm 3.58-3.72, 2 Th 3.62
Sm 0.7523 0.9579 0.5434  2 Th 3.58-3.59, 10 Sm 3.59-3.68
Th 0.2435 0.0449 0.9551  3 Th 3.49-3.72, 9 Sm 3.55-3.64
Th 0.7565 0.0449 0.9551  3 Th 3.49-3.72, 9 Sm 3.55-3.64
Th 0.0000 0.2842 0.7158  2 Th 3.49, 10 Sm 3.58-3.70

Results
The calculation puts the volume at 33.70 Å³ per atom. For the density of states at the Fermi level, the calculation gives 28.71 states/eV/cell. As for the crystal system: orthorhombic. The calculation puts the calculated formation energy at 80 kJ/mol of formula units.



Entry 2:
Computed, not measured: a relaxed structure of GaHgPO2 at the GGA-PBE level of DFT.

a b c (Å): 3.7636 3.7636 5.6851
angles (deg): 90.00 90.00 90.00
Closest atoms and distances in Å follow each position.
Sites, in units of the cell vectors:
Hg 0.5000 0.5000 0.5000  4 P 2.66
P 0.0000 0.0000 0.5000  4 Hg 2.66, 2 Ga 2.84
O 0.0000 0.5000 0.0000  2 Ga 1.88
O 0.5000 0.0000 0.0000  2 Ga 1.88
Ga 0.0000 0.0000 0.0000  4 O 1.88

Results
The calculation puts the volume at 16.11 Å³ per atom. For the density of states at the Fermi level, the calculation gives 2.12 states/eV/cell. Its energy relative to the elements, uncorrected is -0.21 eV/atom. As for the crystal system: tetragonal.



Please write out number 1 again, unchanged.
Computed, not measured: a relaxed structure of Sm13Th3 at the GGA-PBE level of DFT.

a b c (Å): 7.2497 8.6323 8.6323
angles (deg): 93.59 90.00 90.00
Closest atoms and distances in Å follow each position.
Sites, in units of the cell vectors:
Sm 0.7522 0.5410 0.4590  11 Sm 3.59-3.72, 1 Th 3.70
Sm 0.2478 0.5410 0.4590  11 Sm 3.59-3.72, 1 Th 3.70
Sm 0.5000 0.7967 0.2033  10 Sm 3.58-3.70, 2 Th 3.64
Sm 0.0000 0.7033 0.7919  9 Sm 3.57-3.64, 3 Th 3.64
Sm 0.0000 0.2081 0.2967  9 Sm 3.57-3.64, 3 Th 3.64
Sm 0.5000 0.7143 0.7922  10 Sm 3.58-3.72, 2 Th 3.62
Sm 0.2477 0.4566 0.0421  2 Th 3.58-3.59, 10 Sm 3.59-3.68
Sm 0.2477 0.9579 0.5434  2 Th 3.58-3.59, 10 Sm 3.59-3.68
Sm 0.0000 0.7998 0.2002  2 Th 3.55, 10 Sm 3.57-3.72
Sm 0.5000 0.2852 0.7148  4 Th 3.55-3.62, 8 Sm 3.60-3.72
Sm 0.7523 0.4566 0.0421  2 Th 3.58-3.59, 10 Sm 3.59-3.68
Sm 0.5000 0.2078 0.2857  10 Sm 3.58-3.72, 2 Th 3.62
Sm 0.7523 0.9579 0.5434  2 Th 3.58-3.59, 10 Sm 3.59-3.68
Th 0.2435 0.0449 0.9551  3 Th 3.49-3.72, 9 Sm 3.55-3.64
Th 0.7565 0.0449 0.9551  3 Th 3.49-3.72, 9 Sm 3.55-3.64
Th 0.0000 0.2842 0.7158  2 Th 3.49, 10 Sm 3.58-3.70

Results
The calculation puts the volume at 33.70 Å³ per atom. For the density of states at the Fermi level, the calculation gives 28.71 states/eV/cell. As for the crystal system: orthorhombic. The calculation puts the calculated formation energy at 80 kJ/mol of formula units.



Question: Among the records above, which one has the highest volume?
Answer: Sm13Th3